one.
## Ni2Mo3N (GGA-PBE)

Data for a geometry-optimized Ni2Mo3N structure.

abc: 6.8068 6.8068 6.8068
angles: 90.00 90.00 90.00
Last column: nearest neighbours and their distance in Å.
Space group P4_132 (No. 213)
Inequivalent atoms, fractional coordinates:
1 Ni 0.0461 0.0461 0.0461 [8 per cell]  1 N 2.02
2 Mo 0.0797 0.8750 0.6703 [12 per cell]  1 N 1.97
3 N 0.1250 0.3750 0.6250 [4 per cell]  3 Mo 1.97, 2 Ni 2.02

magnetization: 0.002 μB/f.u.
crystal system: cubic


two.
## Ni2Mo3N (GGA-PBE)

Data for a geometry-optimized Ni2Mo3N structure.

abc: 6.6551 6.6551 6.6551
angles: 90.00 90.00 90.00
Last column: nearest neighbours and their distance in Å.
Space group P4_132 (No. 213)
Inequivalent atoms, fractional coordinates:
1 Ni 0.0667 0.0667 0.0667 [8 per cell]  3 Ni 2.48, 6 Mo 2.74-2.75
2 Mo 0.0492 0.8750 0.7008 [12 per cell]  2 N 2.09
3 N 0.1250 0.6250 0.8750 [4 per cell]  6 Mo 2.09

magnetization: 0.013 μB/f.u.
crystal system: cubic


Which structure loses on stability? one does.